Density functional theory data (PBE) for an optimized crystal structure of Rb3LiMn2Cl8.

Calculated density (g cm⁻³): 2.6
Formation energy without anion corrections (meV per atom): -1576

Cell and atoms, written as CIF:
```
data_Rb3LiMn2Cl8
_chemical_formula_sum 'Rb3 Li1 Mn2 Cl8'
_cell_length_a 7.2633
_cell_length_b 7.2633
_cell_length_c 9.2892
_cell_angle_alpha 90.00
_cell_angle_beta 90.00
_cell_angle_gamma 120.00
_symmetry_space_group_name_H-M 'P -3 m 1'
_symmetry_Int_Tables_number 164
_symmetry_space_group_name_Hall '-P 3 2"'
loop_
_atom_site_label
_atom_site_type_symbol
_atom_site_fract_x
_atom_site_fract_y
_atom_site_fract_z
Rb1 Rb 0.0000 0.0000 0.0000
Rb2 Rb 0.3333 0.6667 0.6278
Li1 Li 0.0000 0.0000 0.5000
Mn1 Mn 0.3333 0.6667 0.2166
Cl1 Cl 0.1630 0.3261 0.3248
Cl2 Cl 0.3333 0.6667 0.9699
```